[1]
# Er3AlAg (PBE-GGA, optimized geometry)
data_Er3AlAg
_cell_length_a 6.6241
_cell_length_b 6.6241
_cell_length_c 14.1403
_cell_angle_alpha 85.40
_cell_angle_beta 85.40
_cell_angle_gamma 55.71
_symmetry_space_group_name_H-M 'P 1'
_symmetry_Int_Tables_number 1
_symmetry_space_group_name_Hall 'P 1'
loop_
_atom_site_label
_atom_site_fract_x
_atom_site_fract_y
_atom_site_fract_z
Al1 0.3334 0.5674 0.0811
Ag1 0.5735 0.4265 0.2500
Er1 0.8254 0.0461 0.1071
Er2 0.0313 0.6370 0.2941
Er3 0.6370 0.0313 0.7941
Er4 0.9539 0.1746 0.3929
Er5 0.1746 0.9539 0.8929
Al2 0.5674 0.3334 0.5811
Ag2 0.4265 0.5735 0.7500
Al3 0.6666 0.4326 0.9189
Ag3 0.5000 0.0000 0.0000
Er6 0.3630 0.9687 0.2059
Ag4 0.0000 0.5000 0.5000
Er7 0.5085 0.8712 0.5983
Er8 0.0461 0.8254 0.6071
Er9 0.8712 0.5085 0.0983
Er10 0.4915 0.1288 0.4017
Er11 0.1288 0.4915 0.9017
Al4 0.4326 0.6666 0.4189
Er12 0.9687 0.3630 0.7059
# Calculated density ... 8.283 g cm⁻³
# DFT total energy ... -4.175 eV/atom
# DOS(E_F) ... 4.6 states/eV/f.u.
# Energy of formation from the pure elements ... -118 meV per atom


[2]
# Er5AlAg4 (PBE-GGA, optimized geometry)
data_Er5AlAg4
_cell_length_a 3.5724
_cell_length_b 3.5724
_cell_length_c 18.2509
_cell_angle_alpha 90.00
_cell_angle_beta 90.00
_cell_angle_gamma 90.00
_symmetry_space_group_name_H-M 'P 1'
_symmetry_Int_Tables_number 1
_symmetry_space_group_name_Hall 'P 1'
loop_
_atom_site_label
_atom_site_fract_x
_atom_site_fract_y
_atom_site_fract_z
Ag1 0.0000 0.0000 0.4007
Ag2 0.0000 0.0000 0.5993
Er1 0.5000 0.5000 0.0994
Er2 0.5000 0.5000 0.2992
Er3 0.5000 0.5000 0.9006
Al1 0.0000 0.0000 0.0000
Ag3 0.0000 0.0000 0.1977
Er4 0.5000 0.5000 0.5000
Er5 0.5000 0.5000 0.7008
Ag4 0.0000 0.0000 0.8023
# Calculated density ... 9.230 g cm⁻³
# DFT total energy ... -4.144 eV/atom
# DOS(E_F) ... 6.0 states/eV/f.u.
# Energy of formation from the pure elements ... -347 meV per atom


[3]
# ErAl4Ag2 (PBE-GGA, optimized geometry)
data_ErAl4Ag2
_cell_length_a 5.1347
_cell_length_b 5.7987
_cell_length_c 5.7969
_cell_angle_alpha 68.85
_cell_angle_beta 62.47
_cell_angle_gamma 62.45
_symmetry_space_group_name_H-M 'P 1'
_symmetry_Int_Tables_number 1
_symmetry_space_group_name_Hall 'P 1'
loop_
_atom_site_label
_atom_site_fract_x
_atom_site_fract_y
_atom_site_fract_z
Al1 0.3333 0.9827 0.3907
Al2 0.6667 0.0173 0.6093
Ag1 0.1845 0.5593 0.5591
Al3 0.3331 0.3908 0.9829
Er1 0.0000 0.0000 0.0000
Al4 0.6669 0.6093 0.0171
Ag2 0.8155 0.4407 0.4409
# Calculated density ... 6.115 g cm⁻³
# DFT total energy ... -3.776 eV/atom
# DOS(E_F) ... 2.0 states/eV/f.u.
# Energy of formation from the pure elements ... -170 meV per atom


[4]
# Er2Al9Ag (PBE-GGA, optimized geometry)
data_Er2Al9Ag
_cell_length_a 4.2088
_cell_length_b 4.2088
_cell_length_c 12.4452
_cell_angle_alpha 90.00
_cell_angle_beta 90.00
_cell_angle_gamma 90.00
_symmetry_space_group_name_H-M 'P 1'
_symmetry_Int_Tables_number 1
_symmetry_space_group_name_Hall 'P 1'
loop_
_atom_site_label
_atom_site_fract_x
_atom_site_fract_y
_atom_site_fract_z
Al1 0.5000 0.0000 0.8462
Al2 0.0000 0.5000 0.1538
Er1 0.0000 0.0000 0.6717
Al3 0.5000 0.0000 0.5000
Al4 0.0000 0.5000 0.5000
Ag1 0.0000 0.0000 0.0000
Al5 0.5000 0.5000 0.3312
Al6 0.5000 0.0000 0.1538
Al7 0.5000 0.5000 0.6688
Al8 0.0000 0.5000 0.8462
Al9 0.5000 0.5000 0.0000
Er2 0.0000 0.0000 0.3283
# Calculated density ... 5.161 g cm⁻³
# DFT total energy ... -4.044 eV/atom
# DOS(E_F) ... 3.0 states/eV/f.u.
# Energy of formation from the pure elements ... -239 meV per atom


[5]
# Er6AlAg2 (PBE-GGA, optimized geometry)
data_Er6AlAg2
_cell_length_a 8.5212
_cell_length_b 8.5212
_cell_length_c 8.5212
_cell_angle_alpha 108.23
_cell_angle_beta 111.28
_cell_angle_gamma 108.93
_symmetry_space_group_name_H-M 'P 1'
_symmetry_Int_Tables_number 1
_symmetry_space_group_name_Hall 'P 1'
loop_
_atom_site_label
_atom_site_fract_x
_atom_site_fract_y
_atom_site_fract_z
Ag1 0.3527 0.0000 0.3527
Ag2 0.6473 0.0000 0.6473
Al1 0.0000 0.0000 0.0000
Er1 0.8012 0.7534 0.5546
Er2 0.9115 0.7324 0.1791
Er3 0.1988 0.7534 0.9522
Er4 0.2748 0.6004 0.3255
Er5 0.4467 0.2676 0.1791
Er6 0.0885 0.2676 0.8209
Er7 0.7252 0.3996 0.6745
Er8 0.1988 0.2466 0.4454
Ag3 0.5000 0.6358 0.1358
Al2 0.0000 0.5000 0.5000
Er9 0.5533 0.7324 0.8209
Er10 0.8012 0.2466 0.0478
Ag4 0.5000 0.3642 0.8642
Er11 0.2748 0.9493 0.6745
Er12 0.7252 0.0507 0.3255
# Calculated density ... 8.697 g cm⁻³
# DFT total energy ... -4.293 eV/atom
# DOS(E_F) ... 8.6 states/eV/f.u.
# Energy of formation from the pure elements ... -201 meV per atom


[6]
# Er3Al2Ag4 (PBE-GGA, optimized geometry)
data_Er3Al2Ag4
_cell_length_a 4.6137
_cell_length_b 5.8356
_cell_length_c 8.7538
_cell_angle_alpha 114.18
_cell_angle_beta 90.00
_cell_angle_gamma 113.29
_symmetry_space_group_name_H-M 'P 1'
_symmetry_Int_Tables_number 1
_symmetry_space_group_name_Hall 'P 1'
loop_
_atom_site_label
_atom_site_fract_x
_atom_site_fract_y
_atom_site_fract_z
Er1 0.0000 0.0000 0.0000
Al1 0.3636 0.7272 0.6937
Er2 0.3472 0.6944 0.3194
Ag1 0.2860 0.5719 0.9383
Al2 0.6364 0.2728 0.3063
Ag2 0.0810 0.1621 0.4062
Er3 0.6528 0.3056 0.6806
Ag3 0.7140 0.4281 0.0617
Ag4 0.9190 0.8379 0.5938
# Calculated density ... 8.460 g cm⁻³
# DFT total energy ... -3.962 eV/atom
# DOS(E_F) ... 6.1 states/eV/f.u.
# Energy of formation from the pure elements ... -343 meV per atom


[7]
# Er2Al7Ag12 (PBE-GGA, optimized geometry)
data_Er2Al7Ag12
_cell_length_a 3.1805
_cell_length_b 11.7964
_cell_length_c 11.7964
_cell_angle_alpha 120.00
_cell_angle_beta 90.00
_cell_angle_gamma 90.00
_symmetry_space_group_name_H-M 'P 1'
_symmetry_Int_Tables_number 1
_symmetry_space_group_name_Hall 'P 1'
loop_
_atom_site_label
_atom_site_fract_x
_atom_site_fract_y
_atom_site_fract_z
Al1 0.2546 0.7118 0.5808
Al2 0.7454 0.1309 0.7118
Ag1 0.2439 0.0807 0.2455
Al3 0.2546 0.4192 0.1309
Ag2 0.7561 0.2455 0.1649
Ag3 0.2439 0.7545 0.8351
Ag4 0.7561 0.8351 0.0807
Ag5 0.7499 0.5398 0.6206
Ag6 0.2501 0.4602 0.3794
Er1 0.7537 0.6667 0.3333
Al4 0.7454 0.5808 0.8691
Al5 0.7454 0.2882 0.4192
Ag7 0.2501 0.6206 0.0809
Er2 0.2463 0.3333 0.6667
Ag8 0.7499 0.0809 0.4602
Ag9 0.7561 0.9193 0.7545
Ag10 0.2501 0.9191 0.5398
Al6 0.5000 0.0000 0.0000
Al7 0.2546 0.8691 0.2882
Ag11 0.7499 0.3794 0.9191
Ag12 0.2439 0.1649 0.9193
# Calculated density ... 7.875 g cm⁻³
# DFT total energy ... -3.450 eV/atom
# DOS(E_F) ... 12.2 states/eV/f.u.
# Energy of formation from the pure elements ... -139 meV per atom


[8]
# ErAl2Ag3 (PBE-GGA, optimized geometry)
data_ErAl2Ag3
_cell_length_a 5.6479
_cell_length_b 6.4852
_cell_length_c 6.4852
_cell_angle_alpha 98.66
_cell_angle_beta 90.03
_cell_angle_gamma 90.03
_symmetry_space_group_name_H-M 'P 1'
_symmetry_Int_Tables_number 1
_symmetry_space_group_name_Hall 'P 1'
loop_
_atom_site_label
_atom_site_fract_x
_atom_site_fract_y
_atom_site_fract_z
Ag1 0.7500 0.9975 0.9975
Ag2 0.2504 0.5683 0.8765
Ag3 0.7496 0.1235 0.4317
Al1 0.0000 0.7692 0.2308
Al2 0.0000 0.2308 0.7692
Al3 0.5000 0.7692 0.2308
Ag4 0.7496 0.4317 0.1235
Ag5 0.2500 0.0025 0.0025
Ag6 0.2504 0.8765 0.5683
Er1 0.2496 0.3607 0.3607
Er2 0.7504 0.6393 0.6393
Al4 0.5000 0.2308 0.7692
# Calculated density ... 7.705 g cm⁻³
# DFT total energy ... -3.637 eV/atom
# DOS(E_F) ... 2.4 states/eV/f.u.
# Energy of formation from the pure elements ... -203 meV per atom


[9]
# Er2Al3Ag5 (PBE-GGA, optimized geometry)
data_Er2Al3Ag5
_cell_length_a 5.8559
_cell_length_b 8.8132
_cell_length_c 8.8132
_cell_angle_alpha 85.31
_cell_angle_beta 70.60
_cell_angle_gamma 70.60
_symmetry_space_group_name_H-M 'P 1'
_symmetry_Int_Tables_number 1
_symmetry_space_group_name_Hall 'P 1'
loop_
_atom_site_label
_atom_site_fract_x
_atom_site_fract_y
_atom_site_fract_z
Ag1 0.4915 0.7585 0.7585
Ag2 0.6060 0.7381 0.0499
Er1 0.6322 0.1312 0.6044
Ag3 0.1060 0.0499 0.7381
Al1 0.1293 0.2378 0.5036
Er2 0.8678 0.3956 0.8688
Al2 0.7500 0.0000 0.0000
Er3 0.1322 0.6044 0.1312
Ag4 0.8940 0.9501 0.2619
Al3 0.8707 0.7622 0.4964
Ag5 0.3940 0.2619 0.9501
Ag6 0.0085 0.2415 0.2415
Ag7 0.2500 0.5000 0.5000
Ag8 0.5085 0.2415 0.2415
Al4 0.2500 0.0000 0.0000
Ag9 0.9915 0.7585 0.7585
Al5 0.6293 0.5036 0.2378
Er4 0.3678 0.8688 0.3956
Al6 0.3707 0.4964 0.7622
Ag10 0.7500 0.5000 0.5000
# Calculated density ... 7.841 g cm⁻³
# DFT total energy ... -3.691 eV/atom
# DOS(E_F) ... 4.7 states/eV/f.u.
# Energy of formation from the pure elements ... -230 meV per atom


[10]
# Er4AlAg2 (PBE-GGA, optimized geometry)
data_Er4AlAg2
_cell_length_a 5.0500
_cell_length_b 5.0500
_cell_length_c 8.6043
_cell_angle_alpha 72.93
_cell_angle_beta 72.93
_cell_angle_gamma 60.00
_symmetry_space_group_name_H-M 'P 1'
_symmetry_Int_Tables_number 1
_symmetry_space_group_name_Hall 'P 1'
loop_
_atom_site_label
_atom_site_fract_x
_atom_site_fract_y
_atom_site_fract_z
Er1 0.8722 0.8722 0.3835
Er2 0.3808 0.3808 0.8575
Al1 0.0000 0.0000 0.0000
Er3 0.6192 0.6192 0.1425
Ag1 0.7453 0.7453 0.7641
Ag2 0.2547 0.2547 0.2359
Er4 0.1278 0.1278 0.6165
# Calculated density ... 8.468 g cm⁻³
# DFT total energy ... -4.149 eV/atom
# DOS(E_F) ... 6.2 states/eV/f.u.
# Energy of formation from the pure elements ... -192 meV per atom